Entry 1:
DFT (PBE-GGA) results for a relaxed structure of CuHgSBr.

Computed properties:
N(E_F) = 0.20 states/eV per atom
Symmetry = Cm
Total magnetic moment = 0.00 μB/atom
Electronic total energy = -2.75 eV/atom

Cell and atoms, written as extended XYZ:
```
4
Lattice="3.4425 -1.9734 0.0000 3.4425 1.9734 0.0000 -2.5736 0.0000 7.6422" Properties=species:S:1:pos:R:3 pbc="T T T"
Cu 0.0000 0.0000 0.0000
Hg -0.9550 0.0000 5.2265
S -0.2913 0.0000 7.5912
Br 3.8815 0.0000 3.5028
```

Entry 2:
DFT (PBE-GGA) results for a relaxed structure of PrNd4Ag2.

Computed properties:
N(E_F) = 1.33 states/eV per atom
Symmetry = R-3m
Energy of formation from the pure elements = 11.83 kJ/mol of atoms
Total magnetic moment = 0.00 μB/atom

Cell and atoms, written as extended XYZ:
```
7
Lattice="2.7897 1.6107 8.6551 -2.7897 1.6107 8.6551 0.0000 -3.2213 8.6551" Properties=species:S:1:pos:R:3 pbc="T T T"
Pr 0.0000 0.0000 0.0000
Nd 0.0000 0.0000 5.9274
Nd 0.0000 0.0000 9.6936
Nd 0.0000 0.0000 16.2717
Nd 0.0000 0.0000 20.0379
Ag 0.0000 0.0000 2.9371
Ag 0.0000 0.0000 23.0281
```

Entry 3:
DFT (PBE-GGA) results for a relaxed structure of TcNi2HS.

Computed properties:
N(E_F) = 0.76 states/eV per atom
Symmetry = P4/mmm
Total magnetic moment = 0.22 μB/atom
Electronic total energy = -5.03 eV/atom

Cell and atoms, written as extended XYZ:
```
5
Lattice="4.0524 0.0000 0.0000 0.0000 4.0524 0.0000 0.0000 0.0000 4.4516" Properties=species:S:1:pos:R:3 pbc="T T T"
Tc 0.0000 0.0000 0.0000
Ni 0.0000 2.0262 2.2258
Ni 2.0262 0.0000 2.2258
H 2.0262 2.0262 0.0000
S 0.0000 0.0000 2.2258
```

Entry 4:
DFT (PBE-GGA) results for a relaxed structure of GaAu6.

Computed properties:
N(E_F) = 0.39 states/eV per atom
Symmetry = R-3
Energy of formation from the pure elements = -2.34 kJ/mol of atoms
Total magnetic moment = 0.00 μB/atom

Cell and atoms, written as extended XYZ:
```
7
Lattice="6.0655 3.5019 0.9895 -6.0655 3.5019 0.9895 0.0000 -7.0039 0.9895" Properties=species:S:1:pos:R:3 pbc="T T T"
Ga 0.0000 0.0000 0.0000
Au -0.9260 -2.3997 0.7743
Au -1.6152 2.0017 0.7743
Au 2.5412 0.3979 0.7743
Au -2.5412 -0.3979 2.1943
Au 1.6152 -2.0017 2.1943
Au 0.9260 2.3997 2.1943
```

| no. | calculated density (Mg/m³) |
| --- | --- |
| 1 | 6.0 |
| 2 | 6.6 |
| 3 | 5.6 |
| 4 | 16.5 |